(1)
Below is CaNdMg4 after structural relaxation, with properties calculated at the PBE-GGA level.

It has space group F-43m (No. 216), with a = 8.7208 Å, b = 8.7208 Å, c = 8.7208 Å, α = 90.00°, β = 90.00° and γ = 90.00°. Symmetry generates all atoms from Ca at (0.0000, 0.0000, 0.0000), Nd at (0.2500, 0.2500, 0.7500) and Mg at (0.1242, 0.1242, 0.3758).

The calculation puts the formation enthalpy at 0 K at -0.10 eV per atom. The total magnetization is 0.0 μB/f.u.

(2)
Below is MnAlNi2 after structural relaxation, with properties calculated at the PBE-GGA level.

It has space group I-42d (No. 122), with a = 3.5797 Å, b = 3.5797 Å, c = 16.6576 Å, α = 90.00°, β = 90.00° and γ = 90.00°. Symmetry generates all atoms from Mn at (0.0000, 0.0000, 0.0000), Al at (0.0000, 0.0000, 0.5000) and Ni at (0.2447, 0.2500, 0.6250).

The calculation puts the formation enthalpy at 0 K at 0.16 eV per atom. The total magnetization is 3.5 μB/f.u.